A geometry-optimized Sm3Ho2Mg3 structure, computed with GGA-PBE.

Summary:
Volume: 233.9 Å³/f.u.
M_tot: 0.00 Bohr magnetons per cell
N(E_F): 10.399 states/eV/f.u.
Energy of formation from the pure elements: -0.07 eV per atom
Raw total energy: -3.5773 eV/atom

Cell: 11.7351 11.7351 11.7351 Å, 161.46 152.90 33.03°
Atoms (fractional coordinates):
Sm  0.0000  0.0000  0.0000
Sm  0.3743  0.8743  0.5000
Sm  0.6257  0.1257  0.5000
Ho  0.2357  0.2357  0.0000
Ho  0.7643  0.7643  0.0000
Mg  0.1185  0.6185  0.5000
Mg  0.5000  0.5000  0.0000
Mg  0.8815  0.3815  0.5000